Density functional theory data (PBE) for a relaxed LiDyEr2 crystal.

It has space group R3m (No. 160, hexagonal axes), with a = 3.4818 Å, b = 3.4818 Å, c = 33.2601 Å, α = 90.00°, β = 90.00° and γ = 120.00°. The distinct sites, in fractional coordinates, are Li at (0.0000, 0.0000, 0.0000), Dy at (0.0000, 0.0000, 0.1665), Er at (0.0000, 0.0000, 0.4149) and Er at (0.0000, 0.0000, 0.5848).

The offset from the most stable computed form is 29 meV/atom. As for the total moment: 0.0003 μB per atom. The calculation puts the energy at -3.810 eV/atom. The value obtained for the energy of formation is 0.100 eV per atom.